! LiPr2PdAu2, relaxed, DFT GGA-PBE; values from VASP
&SYSTEM
  ibrav = 0, nat = 12, ntyp = 4
/
ATOMIC_SPECIES
Pd 106.42 Pd.upf
Au 196.97 Au.upf
Pr 140.91 Pr.upf
Li 6.94 Li.upf
CELL_PARAMETERS angstrom
-5.0259 -0.6500 -3.3679
-2.8897 -2.3799 4.7717
1.7055 8.3458 1.3410
ATOMIC_POSITIONS angstrom
Pd -0.7224 -0.5950 1.1929
Pd -2.1673 -1.7849 3.5787
Au -3.4424 0.3488 1.9436
Au -2.0452 4.0576 4.6395
Au -2.7678 4.9672 0.8012
Au -4.1650 1.2584 -1.8947
Pr -0.0995 4.8490 2.3581
Pr -6.1106 0.4670 0.3867
Pr -4.4203 3.2871 2.8168
Pr -1.7898 2.0289 -0.0720
Li -4.6802 -2.1099 1.8948
Li -3.2354 -0.9199 -0.4910
! - DFT formation energy (kcal/mol of atoms) = -15.2
! - space-group type = No. 72
! - electronic total energy (eV per cell) = -54.36